Record 1
YSiNi: relaxed, PBE.

Lattice parameters (Å, degrees): 6.7943 6.7943 3.7768 90.00 90.00 120.00
Space group P-62m (No. 189)
Asymmetric unit:
Y: 0.0000 0.5840 0.0000 [3 per cell]
Si: 0.0000 0.2378 0.5000 [3 per cell]
Ni: 0.0000 0.0000 0.0000 [1 per cell]
Ni: 0.3333 0.6667 0.5000 [2 per cell]

Calculated values
final energy	-19.6	eV/f.u.

Record 2
RbEr: relaxed, PBE.

Lattice parameters (Å, degrees): 7.3386 7.3386 7.3386 90.00 90.00 90.00
Space group Fm-3m (No. 225)
Asymmetric unit:
Rb: 0.0000 0.0000 0.0000 [4 per cell]
Er: 0.0000 0.0000 0.5000 [4 per cell]

Calculated values
final energy	-2.8	eV/f.u.

Record 3
Li4MgSbPt2: relaxed, PBE.

Lattice parameters (Å, degrees): 4.5047 4.5047 6.1221 90.00 90.00 90.00
Space group P-4m2 (No. 115)
Asymmetric unit:
Li: 0.0000 0.0000 0.0000 [1 per cell]
Li: 0.0000 0.5000 0.7405 [2 per cell]
Li: 0.5000 0.5000 0.5000 [1 per cell]
Mg: 0.0000 0.0000 0.5000 [1 per cell]
Sb: 0.5000 0.5000 0.0000 [1 per cell]
Pt: 0.0000 0.5000 0.2463 [2 per cell]

Calculated values
final energy	-30.3	eV/f.u.

Record 4
GdScTc: relaxed, PBE.

Lattice parameters (Å, degrees): 6.5349 6.5349 6.5349 90.00 90.00 90.00
Space group F-43m (No. 216)
Asymmetric unit:
Gd: 0.0000 0.0000 0.0000 [4 per cell]
Sc: 0.2500 0.2500 0.2500 [4 per cell]
Tc: 0.0000 0.0000 0.5000 [4 per cell]

Calculated values
final energy	-19.1	eV/f.u.
DFT formation energy	763	meV/atom
ΔE to the lowest computed polymorph	0	meV/atom

Look up the final energy of the first one. -19.6 eV/f.u.